First-principles (PBE) data for crystalline Cr2TcRhN at its relaxed geometry, as listed in Alexandria.

```
Cr2TcRhN
1.0
3.871 0.000 0.000
0.000 3.871 0.000
0.000 0.000 3.979
Cr Tc Rh N
2 1 1 1
Cartesian
0.000 1.936 0.000
1.936 0.000 0.000
0.000 0.000 1.990
1.936 1.936 1.990
0.000 0.000 0.000
```

## Properties
space-group type: P4/mmm
total DFT energy (no corrections): -9.21 eV/atom
density of states at the Fermi level: 5.8 states/eV per cell